A plane-wave DFT calculation with PBE was carried out for an optimized crystal structure of RhSe2S. Values from VASP.

Values from the calculation:
**Formation energy from raw total energies**: -0.054 eV per atom
**Total magnetic moment**: 0.000 μB per atom
**Space group**: R-3m (166)
**Fermi-level density of states**: 2.454 states/eV/cell
**E**: -4.666 eV per atom

Structure (Quantum ESPRESSO input):
```
&SYSTEM
  ibrav = 0, nat = 4, ntyp = 3
/
ATOMIC_SPECIES
S 32.06 S.upf
Rh 102.91 Rh.upf
Se 78.96 Se.upf
CELL_PARAMETERS angstrom
-6.978 2.432 1.395
-6.759 -0.896 3.173
-5.350 2.212 4.799
ATOMIC_POSITIONS crystal
S 0.000 0.000 0.000
Rh 0.500 0.500 0.500
Se 0.891 0.891 0.891
Se 0.109 0.109 0.109
```



A plane-wave DFT calculation with PBE was carried out for an optimized crystal structure of RhSeS. Values from VASP.

Values from the calculation:
**Formation energy from raw total energies**: -0.367 eV per atom
**Total magnetic moment**: 0.000 μB per atom
**Space group**: Pmn2_1 (31)
**Fermi-level density of states**: 4.755 states/eV/cell
**E**: -5.355 eV per atom
**Offset from the most stable computed form**: 3.5 meV/atom

Structure (Quantum ESPRESSO input):
```
&SYSTEM
  ibrav = 0, nat = 6, ntyp = 3
/
ATOMIC_SPECIES
Rh 102.91 Rh.upf
Se 78.96 Se.upf
S 32.06 S.upf
CELL_PARAMETERS angstrom
-3.291 1.807 0.367
-0.286 -1.470 4.671
2.846 4.839 1.698
ATOMIC_POSITIONS crystal
Rh 0.000 0.236 0.006
Rh 0.500 0.764 0.506
Se 0.500 0.543 0.123
Se 0.000 0.457 0.623
S 0.000 0.038 0.379
S 0.500 0.962 0.879
```



A plane-wave DFT calculation with PBE was carried out for an optimized crystal structure of RhSeS. Values from VASP.

Values from the calculation:
**Formation energy from raw total energies**: -0.332 eV per atom
**Total magnetic moment**: 0.000 μB per atom
**Space group**: P3m1 (156)
**Fermi-level density of states**: 2.846 states/eV/cell
**E**: -5.319 eV per atom
**Offset from the most stable computed form**: 38.7 meV/atom

Structure (Quantum ESPRESSO input):
```
&SYSTEM
  ibrav = 0, nat = 3, ntyp = 3
/
ATOMIC_SPECIES
S 32.06 S.upf
Rh 102.91 Rh.upf
Se 78.96 Se.upf
CELL_PARAMETERS angstrom
3.590 0.000 0.000
-1.795 3.109 0.000
0.000 0.000 4.986
ATOMIC_POSITIONS crystal
S 0.333 0.667 0.583
Rh 0.667 0.333 0.349
Se 0.000 0.000 0.068
```



A plane-wave DFT calculation with PBE was carried out for an optimized crystal structure of Sm4RhSe2S. Values from VASP.

Values from the calculation:
**Formation energy from raw total energies**: -1.572 eV per atom
**Total magnetic moment**: 0.000 μB per atom
**Space group**: P2/m (10)
**Fermi-level density of states**: 5.885 states/eV/cell
**E**: -6.238 eV per atom

Structure (Quantum ESPRESSO input):
```
&SYSTEM
  ibrav = 0, nat = 8, ntyp = 4
/
ATOMIC_SPECIES
Sm 150.36 Sm.upf
Rh 102.91 Rh.upf
Se 78.96 Se.upf
S 32.06 S.upf
CELL_PARAMETERS angstrom
4.062 0.000 0.000
0.000 7.259 -0.188
0.000 2.515 6.750
ATOMIC_POSITIONS crystal
Sm 0.000 0.728 0.764
Sm 0.000 0.272 0.236
Sm 0.500 0.735 0.254
Sm 0.500 0.265 0.746
Rh 0.500 0.500 0.000
Se 0.000 0.000 0.000
Se 0.500 0.000 0.500
S 0.000 0.500 0.500
```



A plane-wave DFT calculation with PBE was carried out for an optimized crystal structure of Sm6RhSe2S3. Values from VASP.

Values from the calculation:
**Formation energy from raw total energies**: -1.721 eV per atom
**Total magnetic moment**: 0.000 μB per atom
**Space group**: C2/m (12)
**Fermi-level density of states**: 5.198 states/eV/cell
**E**: -6.306 eV per atom

Structure (Quantum ESPRESSO input):
```
&SYSTEM
  ibrav = 0, nat = 12, ntyp = 4
/
ATOMIC_SPECIES
Sm 150.36 Sm.upf
Rh 102.91 Rh.upf
Se 78.96 Se.upf
S 32.06 S.upf
CELL_PARAMETERS angstrom
4.037 0.000 0.000
0.000 8.264 0.314
-2.019 -2.362 8.632
ATOMIC_POSITIONS crystal
Sm 0.335 0.927 0.670
Sm 0.663 0.593 0.325
Sm 0.665 0.073 0.330
Sm 0.997 0.240 0.995
Sm 0.003 0.760 0.005
Sm 0.337 0.407 0.675
Rh 0.500 0.000 0.000
Se 0.832 0.663 0.664
Se 0.168 0.337 0.336
S 0.500 0.500 0.000
S 0.830 0.166 0.661
S 0.170 0.834 0.339
```



A plane-wave DFT calculation with PBE was carried out for an optimized crystal structure of Sm6Rh2Se3S. Values from VASP.

Values from the calculation:
**Formation energy from raw total energies**: -1.465 eV per atom
**Total magnetic moment**: 0.000 μB per atom
**Space group**: C2/m (12)
**Fermi-level density of states**: 6.146 states/eV/cell
**E**: -6.265 eV per atom

Structure (Quantum ESPRESSO input):
```
&SYSTEM
  ibrav = 0, nat = 12, ntyp = 4
/
ATOMIC_SPECIES
Sm 150.36 Sm.upf
Rh 102.91 Rh.upf
Se 78.96 Se.upf
S 32.06 S.upf
CELL_PARAMETERS angstrom
4.057 0.000 0.000
0.000 8.502 0.114
-2.028 -2.647 8.795
ATOMIC_POSITIONS crystal
Sm 0.333 0.890 0.665
Sm 0.671 0.577 0.341
Sm 0.667 0.110 0.335
Sm 0.008 0.247 0.017
Sm 0.992 0.753 0.983
Sm 0.329 0.423 0.659
Rh 0.831 0.659 0.663
Rh 0.169 0.341 0.337
Se 0.500 0.500 0.000
Se 0.839 0.157 0.679
Se 0.161 0.843 0.321
S 0.500 0.000 0.000
```



Repeat the second record exactly.
A plane-wave DFT calculation with PBE was carried out for an optimized crystal structure of RhSeS. Values from VASP.

Values from the calculation:
**Formation energy from raw total energies**: -0.367 eV per atom
**Total magnetic moment**: 0.000 μB per atom
**Space group**: Pmn2_1 (31)
**Fermi-level density of states**: 4.755 states/eV/cell
**E**: -5.355 eV per atom
**Offset from the most stable computed form**: 3.5 meV/atom

Structure (Quantum ESPRESSO input):
```
&SYSTEM
  ibrav = 0, nat = 6, ntyp = 3
/
ATOMIC_SPECIES
Rh 102.91 Rh.upf
Se 78.96 Se.upf
S 32.06 S.upf
CELL_PARAMETERS angstrom
-3.291 1.807 0.367
-0.286 -1.470 4.671
2.846 4.839 1.698
ATOMIC_POSITIONS crystal
Rh 0.000 0.236 0.006
Rh 0.500 0.764 0.506
Se 0.500 0.543 0.123
Se 0.000 0.457 0.623
S 0.000 0.038 0.379
S 0.500 0.962 0.879
```



- Look up the total magnetic moment of the first one.
  0.000 μB per atom



What did the fourth record say?
A plane-wave DFT calculation with PBE was carried out for an optimized crystal structure of Sm4RhSe2S. Values from VASP.

Values from the calculation:
**Formation energy from raw total energies**: -1.572 eV per atom
**Total magnetic moment**: 0.000 μB per atom
**Space group**: P2/m (10)
**Fermi-level density of states**: 5.885 states/eV/cell
**E**: -6.238 eV per atom

Structure (Quantum ESPRESSO input):
```
&SYSTEM
  ibrav = 0, nat = 8, ntyp = 4
/
ATOMIC_SPECIES
Sm 150.36 Sm.upf
Rh 102.91 Rh.upf
Se 78.96 Se.upf
S 32.06 S.upf
CELL_PARAMETERS angstrom
4.062 0.000 0.000
0.000 7.259 -0.188
0.000 2.515 6.750
ATOMIC_POSITIONS crystal
Sm 0.000 0.728 0.764
Sm 0.000 0.272 0.236
Sm 0.500 0.735 0.254
Sm 0.500 0.265 0.746
Rh 0.500 0.500 0.000
Se 0.000 0.000 0.000
Se 0.500 0.000 0.500
S 0.000 0.500 0.500
```



Repeat the second record exactly.
A plane-wave DFT calculation with PBE was carried out for an optimized crystal structure of RhSeS. Values from VASP.

Values from the calculation:
**Formation energy from raw total energies**: -0.367 eV per atom
**Total magnetic moment**: 0.000 μB per atom
**Space group**: Pmn2_1 (31)
**Fermi-level density of states**: 4.755 states/eV/cell
**E**: -5.355 eV per atom
**Offset from the most stable computed form**: 3.5 meV/atom

Structure (Quantum ESPRESSO input):
```
&SYSTEM
  ibrav = 0, nat = 6, ntyp = 3
/
ATOMIC_SPECIES
Rh 102.91 Rh.upf
Se 78.96 Se.upf
S 32.06 S.upf
CELL_PARAMETERS angstrom
-3.291 1.807 0.367
-0.286 -1.470 4.671
2.846 4.839 1.698
ATOMIC_POSITIONS crystal
Rh 0.000 0.236 0.006
Rh 0.500 0.764 0.506
Se 0.500 0.543 0.123
Se 0.000 0.457 0.623
S 0.000 0.038 0.379
S 0.500 0.962 0.879
```